# 1
Entry from Alexandria via LeMat-Bulk: crystalline ThScCuRh at its relaxed geometry (PBE-GGA).

Cell lengths 4.8711, 4.8711, 4.8711 Å; angles 60.00, 60.00, 60.00 degrees
Fractional positions:
Sc  0.5000  0.5000  0.5000
Rh  0.7500  0.7500  0.7500
Cu  0.2500  0.2500  0.2500
Th  0.0000  0.0000  0.0000

**Energy of formation from the pure elements**: -0.48 eV/atom

---

# 2
Entry from Alexandria via LeMat-Bulk: crystalline PrScGa5Pd2 at its relaxed geometry (PBE-GGA).

Cell lengths 4.8811, 4.8811, 7.6299 Å; angles 90.00, 90.00, 90.00 degrees
Fractional positions:
Pr  0.0000  0.0000  0.5000
Sc  0.0000  0.0000  0.0000
Ga  0.0000  0.5000  0.2164
Ga  0.5000  0.0000  0.2164
Ga  0.0000  0.5000  0.7836
Ga  0.5000  0.0000  0.7836
Ga  0.5000  0.5000  0.5000
Pd  0.5000  0.5000  0.1752
Pd  0.5000  0.5000  0.8248

**Energy of formation from the pure elements**: -0.41 eV/atom

---

# 3
Entry from Alexandria via LeMat-Bulk: crystalline ScBeVI at its relaxed geometry (PBE-GGA).

Cell lengths 3.4436, 3.4436, 6.6061 Å; angles 90.00, 90.00, 90.00 degrees
Fractional positions:
I  0.0000  0.0000  0.2928
Sc  0.5000  0.5000  0.0117
Be  0.5000  0.5000  0.6347
V  0.0000  0.0000  0.7307

**Energy relative to the lowest polymorph listed for this composition**: 71.3 meV per atom
**Energy relative to the elements, uncorrected**: 20.3 kJ/mol of atoms